# CsPb3O, relaxed, DFT PBE
data_CsPb3O
_symmetry_space_group_name_H-M 'P 1'
_symmetry_Int_Tables_number 1
_symmetry_space_group_name_Hall 'P 1'
_cell_length_a 5.341
_cell_length_b 5.341
_cell_length_c 5.341
_cell_angle_alpha 90.00
_cell_angle_beta 90.00
_cell_angle_gamma 90.00
loop_
_atom_site_label
_atom_site_fract_x
_atom_site_fract_y
_atom_site_fract_z
_atom_site_occupancy
Pb1 0.000 0.500 0.000 1
Pb2 0.000 0.000 0.500 1
Pb3 0.500 0.000 0.000 1
Cs1 0.500 0.500 0.500 1
O1 0.000 0.000 0.000 1
# Distance to the lowest polymorph of the same formula, eV per formula unit: 0.000
# DOS at the Fermi energy, states/eV/atom: 0.592
# Space group: Pm-3m (221)
# E_form (uncorrected), eV per atom: -0.1196